Entry 1:
Mg2ScSbH after structural relaxation, computed with PBE.

a b c (Å): 4.474 4.474 4.420
angles (deg): 90.00 90.00 90.00
Space group P4/mmm (No. 123)
Unique sites:
Mg (0.000, 0.500, 0.000) x2
Sc (0.000, 0.000, 0.500) x1
Sb (0.500, 0.500, 0.500) x1
H (0.000, 0.000, 0.000) x1

**Crystal system**: tetragonal
**Magnetization**: 0.0 μB/cell
**Total energy**: -3.68 eV/atom

=====

Entry 2:
MnZnS2 after structural relaxation, computed with PBE.

a b c (Å): 3.9089 3.9089 19.1871
angles (deg): 90.00 90.00 120.00
Space group R3m (No. 160, hexagonal axes)
Unique sites:
Mn (0.0000, 0.0000, 0.0000) x3
Zn (0.0000, 0.0000, 0.4990) x3
S (0.0000, 0.0000, 0.1255) x3
S (0.0000, 0.0000, 0.6217) x3

**Crystal system**: trigonal
**Magnetization**: 15.0 μB/cell
**Formation energy from raw total energies**: -0.66 eV/atom

=====

Entry 3:
BaLaY2 after structural relaxation, computed with PBE.

a b c (Å): 3.999 6.148 12.492
angles (deg): 90.00 90.00 90.00
Space group Cmmm (No. 65)
Unique sites:
Ba (0.000, 0.000, 0.000) x2
La (0.000, 0.000, 0.500) x2
Y (0.000, 0.500, 0.265) x4

**Crystal system**: orthorhombic
**Offset from the most stable computed form**: 0.095 eV per atom
**Magnetization**: 0.7 μB/cell
**Energy of formation**: 230 meV per atom

=====

Entry 4:
InW after structural relaxation, computed with PBE.

a b c (Å): 11.002 2.846 7.554
angles (deg): 90.00 106.34 90.00
Space group Cm (No. 8)
Unique sites:
In (0.000, 0.000, 0.000) x2
In (0.030, 0.000, 0.615) x2
In (0.183, 0.500, 0.357) x2
W (0.228, 0.500, 0.968) x2
W (0.309, 0.000, 0.693) x2
W (0.393, 0.000, 0.268) x2

**Crystal system**: monoclinic
**Offset from the most stable computed form**: 0.262 eV per atom
**Magnetization**: 0.0 μB/cell
**Energy of formation**: 664 meV per atom

=====

Entry 5:
KHgPO2 after structural relaxation, computed with PBE.

a b c (Å): 4.512 4.512 5.003
angles (deg): 90.00 90.00 90.00
Space group P4/mmm (No. 123)
Unique sites:
K (0.000, 0.000, 0.000) x1
Hg (0.500, 0.500, 0.500) x1
P (0.500, 0.500, 0.000) x1
O (0.000, 0.500, 0.500) x2

**Crystal system**: tetragonal
**Offset from the most stable computed form**: 0.000 eV per atom
**Magnetization**: 2.4 μB/cell
**Formation energy from raw total energies**: 0.35 eV/atom

=====

Entry 6:
CaY2Br after structural relaxation, computed with PBE.

a b c (Å): 3.834 6.139 10.756
angles (deg): 90.00 90.00 90.00
Space group Cmmm (No. 65)
Unique sites:
Ca (0.000, 0.000, 0.000) x2
Y (0.000, 0.500, 0.277) x4
Br (0.000, 0.000, 0.500) x2

**Crystal system**: orthorhombic
**Offset from the most stable computed form**: 0.174 eV per atom
**Magnetization**: 0.0 μB/cell
**Formation energy from raw total energies**: -0.37 eV/atom

=====

Entry 7:
Hg2GeF after structural relaxation, computed with PBE.

a b c (Å): 5.703 5.703 13.113
angles (deg): 90.00 90.00 90.00
Space group I-42d (No. 122)
Unique sites:
Hg (0.236, 0.250, 0.125) x8
Ge (0.000, 0.000, 0.500) x4
F (0.000, 0.000, 0.000) x4

**Crystal system**: tetragonal
**Offset from the most stable computed form**: 0.000 eV per atom
**Magnetization**: 0.0 μB/cell
**Formation energy from raw total energies**: -0.34 eV/atom

=====

Entry 8:
Li3HfS4 after structural relaxation, computed with PBE.

a b c (Å): 7.414 10.358 3.639
angles (deg): 90.00 90.00 90.00
Space group Cmmm (No. 65)
Unique sites:
Li (0.000, 0.000, 0.000) x2
Li (0.250, 0.250, 0.500) x4
Hf (0.000, 0.500, 0.000) x2
S (0.000, 0.257, 0.000) x4
S (0.241, 0.500, 0.500) x4

**Crystal system**: orthorhombic
**Magnetization**: 0.0 μB/cell
**Formation energy from raw total energies**: -1.26 eV/atom